Record 1
Density functional theory data (GGA-PBE) for crystalline Er3Sn3Ir2Pt at its relaxed geometry.

crystal system = hexagonal
total DFT energy (no corrections) = -0.471 Ry per atom

Unit cell a=7.547 b=7.547 c=3.852 alpha=90.00 beta=90.00 gamma=120.00
Atoms (fractional coordinates):
Sn 0.732 0.000 0.500
Sn 0.000 0.732 0.500
Sn 0.268 0.268 0.500
Er 0.404 0.000 0.000
Er 0.000 0.404 0.000
Er 0.596 0.596 0.000
Ir 0.333 0.667 0.500
Ir 0.667 0.333 0.500
Pt 0.000 0.000 0.000

=====

Record 2
Density functional theory data (GGA-PBE) for crystalline Tb2ErZn3Ir2Pt at its relaxed geometry.

crystal system = orthorhombic
formation energy = -0.794 eV per atom

Unit cell a=3.895 b=7.167 c=7.167 alpha=119.66 beta=90.00 gamma=90.00
Atoms (fractional coordinates):
Ir 0.500 0.336 0.665
Ir 0.500 0.665 0.336
Zn 0.500 0.745 0.000
Zn 0.500 0.000 0.745
Zn 0.500 0.254 0.254
Pt 0.000 0.998 0.998
Er 0.000 0.594 0.594
Tb 0.000 0.000 0.408
Tb 0.000 0.408 0.000

=====

Record 3
Density functional theory data (GGA-PBE) for crystalline TbEr2Zn3Ir2Pt at its relaxed geometry.

crystal system = orthorhombic
formation energy = -0.802 eV per atom

Unit cell a=3.894 b=7.159 c=7.159 alpha=120.23 beta=90.00 gamma=90.00
Atoms (fractional coordinates):
Er 0.000 0.000 0.408
Er 0.000 0.408 0.000
Zn 0.500 0.001 0.748
Zn 0.500 0.253 0.253
Zn 0.500 0.748 0.001
Ir 0.500 0.331 0.668
Ir 0.500 0.668 0.331
Pt 0.000 0.002 0.002
Tb 0.000 0.590 0.590

=====

Record 4
Density functional theory data (GGA-PBE) for crystalline ErTm2Zn3Ir2Pt at its relaxed geometry.

crystal system = orthorhombic
formation energy = -0.816 eV per atom

Unit cell a=3.859 b=7.135 c=7.135 alpha=120.12 beta=90.00 gamma=90.00
Atoms (fractional coordinates):
Tm 0.000 0.594 0.000
Tm 0.000 0.000 0.594
Zn 0.500 0.255 0.000
Zn 0.500 0.744 0.744
Zn 0.500 0.000 0.255
Er 0.000 0.407 0.407
Ir 0.500 0.333 0.668
Ir 0.500 0.668 0.333
Pt 0.000 0.999 0.999

=====

Record 5
Density functional theory data (GGA-PBE) for crystalline Er2TmZn3Ir2Pt at its relaxed geometry.

crystal system = orthorhombic
formation energy = -0.814 eV per atom

Unit cell a=3.859 b=7.137 c=7.137 alpha=119.89 beta=90.00 gamma=90.00
Atoms (fractional coordinates):
Er 0.000 0.593 0.000
Er 0.000 0.000 0.593
Ir 0.500 0.666 0.334
Ir 0.500 0.334 0.666
Zn 0.500 0.745 0.745
Zn 0.500 0.256 0.000
Zn 0.500 0.000 0.256
Pt 0.000 0.001 0.001
Tm 0.000 0.406 0.406

=====

Record 6
Density functional theory data (GGA-PBE) for crystalline YEr2Zn3Ir2Pt at its relaxed geometry.

crystal system = orthorhombic
formation energy = -0.800 eV per atom

Unit cell a=3.869 b=7.180 c=7.180 alpha=120.25 beta=90.00 gamma=90.00
Atoms (fractional coordinates):
Zn 0.500 0.256 0.256
Zn 0.500 0.745 0.999
Zn 0.500 0.999 0.745
Ir 0.500 0.668 0.329
Ir 0.500 0.329 0.668
Er 0.000 0.406 0.000
Er 0.000 0.000 0.406
Y 0.000 0.592 0.592
Pt 0.000 0.004 0.004

=====

Record 7
Density functional theory data (GGA-PBE) for crystalline Er2Re3Ir at its relaxed geometry.

crystal system = hexagonal
formation energy = -0.439 eV per atom

Unit cell a=5.239 b=5.239 c=9.187 alpha=90.00 beta=90.00 gamma=120.00
Atoms (fractional coordinates):
Er 0.333 0.667 0.937
Er 0.333 0.667 0.563
Er 0.667 0.333 0.437
Er 0.667 0.333 0.063
Ir 0.000 0.000 0.000
Ir 0.000 0.000 0.500
Re 0.340 0.170 0.750
Re 0.830 0.660 0.750
Re 0.170 0.340 0.250
Re 0.170 0.830 0.250
Re 0.830 0.170 0.750
Re 0.660 0.830 0.250

=====

Record 8
Density functional theory data (GGA-PBE) for crystalline Er7Ir2S2 at its relaxed geometry.

crystal system = orthorhombic
total DFT energy (no corrections) = -0.468 Ry per atom

Unit cell a=8.857 b=8.857 c=8.857 alpha=154.88 beta=67.32 gamma=118.70
Atoms (fractional coordinates):
Er 0.440 0.576 0.863
Er 0.130 0.950 0.181
Er 0.116 0.736 0.380
Er 0.769 0.950 0.819
Er 0.825 0.325 0.500
Er 0.713 0.576 0.137
Er 0.355 0.736 0.620
S 0.483 0.983 0.500
S 0.077 0.077 0.000
Ir 0.989 0.249 0.739
Ir 0.510 0.249 0.261